Density functional theory data (GGA-PBE) for K6MgI8 after structural relaxation.

Cell and atoms, written as POSCAR:
```
K6MgI8
1.0
-7.646 3.678 3.445
-7.017 -5.790 -1.043
-2.043 -3.933 8.013
K Mg I
6 1 8
direct
0.057 0.478 0.700
0.300 0.943 0.522
0.522 0.300 0.943
0.478 0.700 0.057
0.700 0.057 0.478
0.943 0.522 0.300
0.000 0.000 0.000
0.155 0.689 0.904
0.096 0.845 0.311
0.311 0.096 0.845
0.657 0.657 0.657
0.343 0.343 0.343
0.689 0.904 0.155
0.904 0.155 0.689
0.845 0.311 0.096
```

**Magnetization**: 0.00 μB/f.u.
**ΔE_f (raw)**: -1.351 eV per atom
**V**: 43.67 Å³/atom
**Space group**: R-3 (148)
**ρ**: 3.23 Mg/m³
**E_tot**: -2.72 eV/atom
**N(E_F)**: 0.00 states/eV per cell

***

Density functional theory data (GGA-PBE) for La4TbSe5 after structural relaxation.

Cell and atoms, written as POSCAR:
```
La4TbSe5
1.0
5.451 0.000 2.629
2.725 6.747 1.315
-0.206 0.000 7.392
La Tb Se
4 1 5
direct
0.404 0.399 0.794
0.803 0.794 0.601
0.199 0.206 0.399
0.598 0.601 0.206
0.001 0.000 0.000
0.902 0.389 0.809
0.291 0.809 0.611
0.711 0.191 0.389
0.100 0.611 0.191
0.501 0.000 0.000
```

**Magnetization**: 0.00 μB/f.u.
**ΔE_f (raw)**: -1.949 eV per atom
**V**: 27.55 Å³/atom
**Space group**: I4/m (87)
**ρ**: 6.69 Mg/m³
**E_tot**: -6.13 eV/atom
**N(E_F)**: 5.87 states/eV per cell

***

Density functional theory data (GGA-PBE) for Ag4Cl5F after structural relaxation.

Cell and atoms, written as POSCAR:
```
Ag4Cl5F
1.0
-4.633 4.261 0.327
-5.935 -6.804 4.561
2.609 2.312 6.843
Ag Cl F
8 10 2
direct
0.012 0.241 0.000
0.466 0.000 0.239
0.466 0.000 0.761
0.012 0.759 0.000
0.988 0.741 0.500
0.534 0.500 0.261
0.534 0.500 0.739
0.988 0.259 0.500
0.766 0.175 0.247
0.766 0.175 0.753
0.229 0.000 0.500
0.766 0.825 0.247
0.766 0.825 0.753
0.234 0.675 0.253
0.234 0.675 0.747
0.771 0.500 0.000
0.234 0.325 0.747
0.234 0.325 0.253
0.256 0.000 0.000
0.744 0.500 0.500
```

**Magnetization**: 0.00 μB/f.u.
**ΔE_f (raw)**: -0.478 eV per atom
**V**: 24.48 Å³/atom
**Space group**: Pmmn (59)
**ρ**: 4.26 Mg/m³
**E_tot**: -2.73 eV/atom
**N(E_F)**: 16.81 states/eV per cell

***

Density functional theory data (GGA-PBE) for AlPbC2 after structural relaxation.

Cell and atoms, written as POSCAR:
```
AlPbC2
1.0
-2.655 -3.908 1.462
3.629 -3.018 -1.477
2.594 -3.177 4.585
Pb C Al
2 4 2
direct
0.000 0.000 0.000
0.750 0.250 0.500
0.579 0.125 0.250
0.171 0.625 0.250
0.375 0.421 0.750
0.875 0.829 0.750
0.500 0.500 0.000
0.250 0.750 0.500
```

**Magnetization**: 0.00 μB/f.u.
**V**: 15.48 Å³/atom
**Energy of formation**: 1024 meV per atom
**Space group**: I-42d (122)
**ρ**: 6.93 Mg/m³
**E_tot**: -5.45 eV/atom
**N(E_F)**: 5.49 states/eV per cell